The following is a DFT calculation (GGA-PBE) of BePtSe2 after structural relaxation.

## Properties
density of states at the Fermi level: 9.16 states/eV/cell
formation energy (no corrections): -0.27 eV per atom
total magnetization: 0.0 μB per formula unit

a = 5.5281 Å, b = 5.5281 Å, c = 10.4166 Å
α = 90.00°, β = 90.00°, γ = 90.00°
Closest atoms and distances in Å follow each position.
Space group I-42d (No. 122)
Inequivalent atoms, fractional coordinates:
Be  0.0000  0.0000  0.0000 [4 per cell]  4 Se 2.23
Pt  0.0000  0.0000  0.5000 [4 per cell]  4 Se 2.48
Se  0.2121  0.2500  0.1250 [8 per cell]  2 Be 2.23, 2 Pt 2.48